# 1
VASP calculation (GGA-PBE) on a geometry-optimized Sm3Ga2Ru3 structure.

Lattice parameters (Å, degrees): 7.5839 14.9719 5.8768 90.00 90.00 90.00
Last column: nearest neighbours and their distance in Å.
Space group Pnma (No. 62)
Symmetry-distinct sites (fractional):
Sm  0.0332  0.1058  0.1463 (multiplicity 8)  6 Ru 2.96-3.17, 3 Ga 3.06-3.19
Sm  0.1852  0.2500  0.6042 (multiplicity 4)  5 Ru 2.95-3.27, 4 Ga 3.08-3.10
Ga  0.1070  0.6059  0.3648 (multiplicity 8)  4 Ru 2.48-2.59
Ru  0.1719  0.7500  0.5938 (multiplicity 4)  2 Ga 2.59
Ru  0.1892  0.0314  0.5937 (multiplicity 8)  3 Ga 2.48-2.53

DFT total energy: -6.39 eV per atom
DOS(E_F): 25.72 states/eV/cell
energy relative to the elements: -387 meV per atom



# 2
VASP calculation (GGA-PBE) on a geometry-optimized Ac2SmIr structure.

Lattice parameters (Å, degrees): 4.0974 10.2369 6.8717 90.00 107.30 90.00
Last column: nearest neighbours and their distance in Å.
Space group P2_1/m (No. 11)
Symmetry-distinct sites (fractional):
Ac  0.1413  0.0697  0.2815 (multiplicity 4)  2 Ir 3.10
Sm  0.4006  0.2500  0.8023 (multiplicity 2)  2 Ir 2.86
Ir  0.2511  0.7500  0.5016 (multiplicity 2)  2 Sm 2.86, 4 Ac 3.10

DFT total energy: -5.83 eV per atom
DOS(E_F): 11.55 states/eV/cell
energy relative to the elements: -377 meV per atom



# 3
VASP calculation (GGA-PBE) on a geometry-optimized SnP2AuO8 structure.

Lattice parameters (Å, degrees): 4.8159 4.8159 22.6472 90.00 90.00 120.00
Last column: nearest neighbours and their distance in Å.
Space group R-3 (No. 148, hexagonal axes)
Symmetry-distinct sites (fractional):
Sn  0.0000  0.0000  0.0000 (multiplicity 3)  6 O 2.06
P  0.0000  0.0000  0.2557 (multiplicity 6)  4 O 1.55-1.56
Au  0.0000  0.0000  0.5000 (multiplicity 3)  12 O 2.82-3.05
O  0.0000  0.0000  0.1866 (multiplicity 6)  1 P 1.56
O  0.0147  0.7033  0.7224 (multiplicity 18)  1 P 1.55

DFT total energy: -6.31 eV per atom
DOS(E_F): 12.62 states/eV/cell
E_form (uncorrected): -1.491 eV per atom



# 4
VASP calculation (GGA-PBE) on a geometry-optimized AcTb5Sm3 structure.

Lattice parameters (Å, degrees): 12.2791 11.6276 10.0717 90.00 104.17 90.00
Last column: nearest neighbours and their distance in Å.
Space group C2/m (No. 12)
Symmetry-distinct sites (fractional):
Ac  0.2396  0.0000  0.2195 (multiplicity 4)  3 Sm 3.22-3.42, 4 Tb 3.31-3.53
Tb  0.0000  0.2537  0.0000 (multiplicity 4)  1 Sm 2.95
Tb  0.1412  0.2461  0.6187 (multiplicity 8)  1 Tb 3.29, 2 Sm 3.48-3.49, 1 Ac 3.51
Tb  0.2389  0.5000  0.4242 (multiplicity 4)  3 Sm 3.21-3.37, 3 Tb 3.25-3.29, 1 Ac 3.53
Tb  0.2440  0.0000  0.8927 (multiplicity 4)  1 Tb 3.25, 3 Sm 3.29-3.44, 1 Ac 3.31
Sm  0.0000  0.0000  0.0000 (multiplicity 2)  2 Tb 2.95, 2 Ac 3.22
Sm  0.0000  0.5000  0.5000 (multiplicity 2)  6 Tb 3.21-3.48, 2 Sm 3.30
Sm  0.0067  0.5000  0.1746 (multiplicity 4)  4 Tb 3.29-3.35, 2 Sm 3.30-3.48, 1 Ac 3.42
Sm  0.0107  0.0000  0.3445 (multiplicity 4)  2 Sm 3.21-3.44, 1 Ac 3.35, 4 Tb 3.37-3.49

DFT total energy: -4.02 eV per atom
DOS(E_F): 55.30 states/eV/cell
energy relative to the elements: 578 meV per atom



# 5
VASP calculation (GGA-PBE) on a geometry-optimized Li2ReP structure.

Lattice parameters (Å, degrees): 2.5837 4.3608 4.8184 90.00 90.00 90.00
Last column: nearest neighbours and their distance in Å.
Space group Pmmm (No. 47)
Symmetry-distinct sites (fractional):
Li  0.0000  0.0000  0.2435 (multiplicity 2)  4 Li 2.35-2.58
Re  0.5000  0.5000  0.0000 (multiplicity 1)  2 P 2.41, 2 Re 2.58
P  0.5000  0.5000  0.5000 (multiplicity 1)  2 Re 2.41, 2 P 2.58

DFT total energy: -5.40 eV per atom
DOS(E_F): 1.67 states/eV/cell
energy relative to the elements: 22 meV per atom



# 6
VASP calculation (GGA-PBE) on a geometry-optimized PuPHRh structure.

Lattice parameters (Å, degrees): 3.9329 3.9329 7.2708 90.00 90.00 90.00
Last column: nearest neighbours and their distance in Å.
Space group P4/nmm (No. 129, origin choice 2)
Symmetry-distinct sites (fractional):
Pu  0.2500  0.2500  0.1539 (multiplicity 2)  4 H 2.26
P  0.2500  0.2500  0.6955 (multiplicity 2)  4 Rh 2.43
H  0.2500  0.7500  0.0000 (multiplicity 2)  4 Pu 2.26
Rh  0.2500  0.7500  0.5000 (multiplicity 2)  4 P 2.43

DFT total energy: -8.42 eV per atom
DOS(E_F): 16.61 states/eV/cell



# 7
VASP calculation (GGA-PBE) on a geometry-optimized Ti2Ag2Hg structure.

Lattice parameters (Å, degrees): 7.6599 7.6599 3.1638 90.00 90.00 90.00
Last column: nearest neighbours and their distance in Å.
Space group P4/mbm (No. 127)
Symmetry-distinct sites (fractional):
Ti  0.1681  0.3319  0.0000 (multiplicity 4)  6 Ag 2.71-2.78
Ag  0.1284  0.6284  0.5000 (multiplicity 4)  6 Ti 2.71-2.78, 1 Ag 2.78, 2 Hg 3.01
Hg  0.0000  0.0000  0.5000 (multiplicity 2)  4 Ag 3.01, 2 Hg 3.16, 8 Ti 3.26

DFT total energy: -4.19 eV per atom
DOS(E_F): 7.13 states/eV/cell
energy relative to the elements: 170 meV per atom



# 8
VASP calculation (GGA-PBE) on a geometry-optimized Tl2P2I structure.

Lattice parameters (Å, degrees): 5.7459 5.7459 9.3401 90.00 90.00 90.00
Last column: nearest neighbours and their distance in Å.
Space group I4/mmm (No. 139)
Symmetry-distinct sites (fractional):
Tl  0.0000  0.5000  0.2500 (multiplicity 4)  4 P 3.17
P  0.0000  0.0000  0.1064 (multiplicity 4)  1 P 1.99
I  0.0000  0.0000  0.5000 (multiplicity 2)  2 P 3.68, 8 Tl 3.70

DFT total energy: -3.43 eV per atom
DOS(E_F): 4.59 states/eV/cell
E_form (uncorrected): -0.007 eV per atom